! Ce3Si2Os2 PBE optimized geometry; values from VASP
! Symmetry ... Pbcm
! Formation energy (no corrections) ... -588.3 meV per atom
! Energy ... -220.90 eV for the cell shown
&SYSTEM
  ibrav = 0, nat = 28, ntyp = 3
/
ATOMIC_SPECIES
Ce 140.12 Ce.upf
Si 28.09 Si.upf
Os 190.23 Os.upf
CELL_PARAMETERS angstrom
5.592 0.000 0.000
0.000 7.850 0.000
0.000 0.000 13.352
ATOMIC_POSITIONS angstrom
Ce 0.712 1.942 3.338
Ce 0.712 1.983 10.014
Ce 1.955 4.713 1.342
Ce 1.955 4.713 5.334
Ce 1.955 7.063 8.018
Ce 1.955 7.063 12.010
Ce 3.636 0.787 1.342
Ce 3.636 0.787 5.334
Ce 3.636 3.138 8.018
Ce 3.636 3.138 12.010
Ce 4.879 5.868 3.338
Ce 4.879 5.908 10.014
Si 0.611 1.963 0.000
Si 0.611 1.963 6.676
Si 2.027 4.734 10.014
Si 2.027 7.042 3.338
Si 3.565 0.809 10.014
Si 3.565 3.117 3.338
Si 4.981 5.888 0.000
Si 4.981 5.888 6.676
Os 0.823 4.149 7.892
Os 0.823 4.149 12.136
Os 0.823 7.627 1.216
Os 0.823 7.627 5.460
Os 4.769 0.224 7.892
Os 4.769 0.224 12.136
Os 4.769 3.701 1.216
Os 4.769 3.701 5.460


! Ce3Si3Os2 PBE optimized geometry; values from VASP
! Symmetry ... Pnma
! Formation energy (no corrections) ... -621.5 meV per atom
! Energy ... -246.01 eV for the cell shown
&SYSTEM
  ibrav = 0, nat = 32, ntyp = 3
/
ATOMIC_SPECIES
Ce 140.12 Ce.upf
Si 28.09 Si.upf
Os 190.23 Os.upf
CELL_PARAMETERS angstrom
7.560 0.000 0.000
0.000 14.474 0.000
0.000 0.000 5.982
ATOMIC_POSITIONS angstrom
Ce 0.102 1.531 0.720
Ce 0.102 5.705 0.720
Ce 1.160 3.618 3.727
Ce 2.620 10.855 0.736
Ce 3.678 8.768 3.711
Ce 3.678 12.942 3.711
Ce 3.883 1.531 2.271
Ce 3.883 5.705 2.271
Ce 4.940 3.618 5.246
Ce 6.400 10.855 2.255
Ce 7.458 8.768 5.262
Ce 7.458 12.942 5.262
Si 1.150 0.633 3.544
Si 1.150 6.604 3.544
Si 1.485 10.855 3.580
Si 2.295 3.618 0.589
Si 2.631 7.870 0.553
Si 2.631 13.841 0.553
Si 4.930 0.633 5.429
Si 4.930 6.604 5.429
Si 5.265 10.855 5.393
Si 6.075 3.618 2.402
Si 6.411 7.870 2.438
Si 6.411 13.841 2.438
Os 1.183 8.675 2.294
Os 1.183 13.035 2.294
Os 2.597 1.438 5.285
Os 2.597 5.798 5.285
Os 4.963 8.675 0.697
Os 4.963 13.035 0.697
Os 6.377 1.438 3.688
Os 6.377 5.798 3.688


! Ce2SiOs PBE optimized geometry; values from VASP
! Polymorph energy (0 for the lowest one) ... 28 meV/atom
! Symmetry ... P2_1/m
! Formation energy (no corrections) ... -466.7 meV per atom
! Energy ... -60.77 eV for the cell shown
&SYSTEM
  ibrav = 0, nat = 8, ntyp = 3
/
ATOMIC_SPECIES
Ce 140.12 Ce.upf
Si 28.09 Si.upf
Os 190.23 Os.upf
CELL_PARAMETERS angstrom
5.787 0.000 0.000
0.000 4.019 0.000
-2.752 0.000 7.775
ATOMIC_POSITIONS angstrom
Ce 0.019 1.005 3.201
Ce 1.457 3.015 0.445
Ce 1.578 1.005 7.330
Ce 3.015 3.015 4.574
Si 0.064 3.015 5.526
Si 2.971 1.005 2.248
Os -1.428 1.005 6.118
Os 4.463 3.015 1.657


! Ce3Si2Os PBE optimized geometry; values from VASP
! Symmetry ... Pnma
! Formation energy (no corrections) ... -581.7 meV per atom
! Energy ... -173.47 eV for the cell shown
&SYSTEM
  ibrav = 0, nat = 24, ntyp = 3
/
ATOMIC_SPECIES
Ce 140.12 Ce.upf
Si 28.09 Si.upf
Os 190.23 Os.upf
CELL_PARAMETERS angstrom
11.980 0.000 0.000
0.000 4.294 0.000
0.000 0.000 10.382
ATOMIC_POSITIONS angstrom
Ce 0.538 1.073 0.943
Ce 1.473 3.220 5.844
Ce 2.793 1.073 8.043
Ce 3.197 3.220 2.852
Ce 4.517 1.073 0.653
Ce 5.452 3.220 6.134
Ce 6.528 1.073 4.248
Ce 7.463 3.220 9.730
Ce 8.783 1.073 7.530
Ce 9.188 3.220 2.339
Ce 10.507 1.073 4.538
Ce 11.442 3.220 9.439
Si 0.172 3.220 3.080
Si 2.481 3.220 10.196
Si 3.509 1.073 5.005
Si 5.819 1.073 8.271
Si 6.162 3.220 2.111
Si 8.471 3.220 5.378
Si 9.499 1.073 0.187
Si 11.809 1.073 7.303
Os 1.366 1.073 3.638
Os 4.624 3.220 8.829
Os 7.357 1.073 1.553
Os 10.614 3.220 6.744